# BaNdCu2Ge2

A relaxed structure of BaNdCu2Ge2 (PBE, Alexandria).

V ... 23.62 Å³ per atom

a b c (Å): 4.4117 4.4117 8.4091
angles (deg): 90.00 90.00 120.00
With the nearest neighbours (Å) after each atom.
Atoms (fractional coordinates):
Ba  0.0000  0.0000  0.0000  6 Ge 3.53, 6 Cu 3.55
Nd  0.0000  0.0000  0.5000  6 Cu 3.08, 6 Ge 3.10
Cu  0.3333  0.6667  0.2948  3 Ge 2.55
Cu  0.6667  0.3333  0.7052  3 Ge 2.55
Ge  0.3333  0.6667  0.7101  3 Cu 2.55
Ge  0.6667  0.3333  0.2899  3 Cu 2.55

***

# BaCuNiGe

A relaxed structure of BaCuNiGe (PBE, Alexandria).

V ... 22.00 Å³ per atom

a b c (Å): 7.2537 4.2084 6.2653
angles (deg): 90.00 113.07 90.00
With the nearest neighbours (Å) after each atom.
Atoms (fractional coordinates):
Ba  0.0000  0.0000  0.0000  4 Cu 3.28-3.48, 4 Ge 3.34-3.43
Ba  0.5000  0.5000  0.0000  4 Cu 3.28-3.48, 4 Ge 3.34-3.43
Cu  0.3101  0.5000  0.4303  3 Ni 2.45, 3 Ge 2.56-2.58
Cu  0.8101  0.0000  0.4303  3 Ni 2.45, 3 Ge 2.56-2.58
Ni  0.4974  0.0000  0.4931  3 Cu 2.45, 3 Ge 2.47-2.48
Ni  0.9974  0.5000  0.4931  3 Cu 2.45, 3 Ge 2.47-2.48
Ge  0.1926  0.0000  0.5800  3 Ni 2.47-2.48, 3 Cu 2.56-2.58
Ge  0.6926  0.5000  0.5800  3 Ni 2.47-2.48, 3 Cu 2.56-2.58

***

# BaCu2Ge2O7

A relaxed structure of BaCu2Ge2O7 (PBE, Alexandria).

V ... 14.40 Å³ per atom
Formation energy without anion corrections ... -1.561 eV per atom

a b c (Å): 7.1435 13.3521 7.2484
angles (deg): 90.00 90.00 90.00
With the nearest neighbours (Å) after each atom.
Atoms (fractional coordinates):
Ba  0.0237  0.2500  0.0452  7 O 2.70-2.96
Ba  0.4763  0.7500  0.5452  7 O 2.70-2.96
Ba  0.5237  0.2500  0.4548  7 O 2.70-2.96
Ba  0.9763  0.7500  0.9548  7 O 2.70-2.96
Cu  0.2191  0.5042  0.7907  4 O 1.91-1.99
Cu  0.2191  0.9958  0.7907  4 O 1.91-1.99
Cu  0.2809  0.0042  0.2907  4 O 1.91-1.99
Cu  0.2809  0.4958  0.2907  4 O 1.91-1.99
Cu  0.7191  0.5042  0.7093  4 O 1.91-1.99
Cu  0.7191  0.9958  0.7093  4 O 1.91-1.99
Cu  0.7809  0.0042  0.2093  4 O 1.91-1.99
Cu  0.7809  0.4958  0.2093  4 O 1.91-1.99
Ge  0.0133  0.1286  0.5223  4 O 1.76-1.82
Ge  0.0133  0.3714  0.5223  4 O 1.76-1.82
Ge  0.4867  0.6286  0.0223  4 O 1.76-1.82
Ge  0.4867  0.8714  0.0223  4 O 1.76-1.82
Ge  0.5133  0.1286  0.9777  4 O 1.76-1.82
Ge  0.5133  0.3714  0.9777  4 O 1.76-1.82
Ge  0.9867  0.6286  0.4777  4 O 1.76-1.82
Ge  0.9867  0.8714  0.4777  4 O 1.76-1.82
O  0.0885  0.1189  0.7531  1 Ge 1.76, 1 Cu 1.91
O  0.0885  0.3811  0.7531  1 Ge 1.76, 1 Cu 1.91
O  0.1004  0.7500  0.5011  2 Ge 1.82
O  0.1788  0.5443  0.5300  1 Ge 1.81, 2 Cu 1.98-1.99
O  0.1788  0.9557  0.5300  1 Ge 1.81, 2 Cu 1.98-1.99
O  0.1868  0.1349  0.3470  1 Ge 1.78, 1 Cu 1.91
O  0.1868  0.3651  0.3470  1 Ge 1.78, 1 Cu 1.91
O  0.3132  0.6349  0.8470  1 Ge 1.78, 1 Cu 1.91
O  0.3132  0.8651  0.8470  1 Ge 1.78, 1 Cu 1.91
O  0.3212  0.0443  0.0300  1 Ge 1.81, 2 Cu 1.98-1.99
O  0.3212  0.4557  0.0300  1 Ge 1.81, 2 Cu 1.98-1.99
O  0.3996  0.2500  0.0011  2 Ge 1.82
O  0.4115  0.6189  0.2531  1 Ge 1.76, 1 Cu 1.91
O  0.4115  0.8811  0.2531  1 Ge 1.76, 1 Cu 1.91
O  0.5885  0.1189  0.7469  1 Ge 1.76, 1 Cu 1.91
O  0.5885  0.3811  0.7469  1 Ge 1.76, 1 Cu 1.91
O  0.6004  0.7500  0.9989  2 Ge 1.82
O  0.6788  0.5443  0.9700  1 Ge 1.81, 2 Cu 1.98-1.99
O  0.6788  0.9557  0.9700  1 Ge 1.81, 2 Cu 1.98-1.99
O  0.6868  0.1349  0.1530  1 Ge 1.78, 1 Cu 1.91
O  0.6868  0.3651  0.1530  1 Ge 1.78, 1 Cu 1.91
O  0.8132  0.6349  0.6530  1 Ge 1.78, 1 Cu 1.91
O  0.8132  0.8651  0.6530  1 Ge 1.78, 1 Cu 1.91
O  0.8212  0.0443  0.4700  1 Ge 1.81, 2 Cu 1.98-1.99
O  0.8212  0.4557  0.4700  1 Ge 1.81, 2 Cu 1.98-1.99
O  0.8996  0.2500  0.4989  2 Ge 1.82
O  0.9115  0.6189  0.2469  1 Ge 1.76, 1 Cu 1.91
O  0.9115  0.8811  0.2469  1 Ge 1.76, 1 Cu 1.91

***

# Ba3Cu2GeO6

A relaxed structure of Ba3Cu2GeO6 (PBE, Alexandria).

V ... 16.91 Å³ per atom
Formation energy without anion corrections ... -1.655 eV per atom

a b c (Å): 5.8934 5.8934 6.7456
angles (deg): 90.00 90.00 120.00
With the nearest neighbours (Å) after each atom.
Atoms (fractional coordinates):
Ba  0.0000  0.0000  0.0000  6 O 2.73
Ba  0.3333  0.6667  0.6547  9 O 2.85-2.95, 1 Cu 2.98
Ba  0.6667  0.3333  0.3453  9 O 2.85-2.95, 1 Cu 2.98
Cu  0.3333  0.6667  0.2132  3 O 1.97
Cu  0.6667  0.3333  0.7868  3 O 1.97
Ge  0.0000  0.0000  0.5000  6 O 1.97
O  0.1563  0.3126  0.3279  1 Cu 1.97, 1 Ge 1.97
O  0.1563  0.8437  0.3279  1 Cu 1.97, 1 Ge 1.97
O  0.3126  0.1563  0.6721  1 Cu 1.97, 1 Ge 1.97
O  0.6874  0.8437  0.3279  1 Cu 1.97, 1 Ge 1.97
O  0.8437  0.1563  0.6721  1 Cu 1.97, 1 Ge 1.97
O  0.8437  0.6874  0.6721  1 Cu 1.97, 1 Ge 1.97

***

The records above yield total energy values of -4.527; -4.384; -6.066; -5.682 eV/atom, respectively.